The following is a DFT calculation (GGA-PBE) of crystalline YMgAg2Pd at its relaxed geometry.

* energy of formation: 0.107 eV per atom

abc: 5.122 4.661 5.122
angles: 90.00 90.00 90.00
Fractional coordinates of all 5 atoms:
Y 0.500 0.500 0.500
Mg 0.000 0.500 0.000
Pd 0.000 0.000 0.000
Ag 0.000 0.000 0.500
Ag 0.500 0.000 0.000